VASP calculation (PBE-GGA) on a relaxed Ba3Cd2Bi crystal.

Results
The calculation puts the density of states at the Fermi level at 12.4 states/eV/cell. The total moment is 0.000 μB per atom. For the formation energy, the calculation gives -3.201 eV/f.u.

Cell and atoms, written as CIF:
```
data_Ba3Cd2Bi
_space_group_name_H-M_alt 'C m m m'
_space_group_IT_number 65
_space_group_name_Hall '-C 2 2'
_cell_length_a 6.0834
_cell_length_b 18.4474
_cell_length_c 8.5067
_cell_angle_alpha 90.00
_cell_angle_beta 90.00
_cell_angle_gamma 90.00
loop_
_atom_site_label
_atom_site_type_symbol
_atom_site_fract_x
_atom_site_fract_y
_atom_site_fract_z
Ba1 Ba 0.0000 0.0000 0.2436
Ba2 Ba 0.0000 0.3318 0.2547
Cd1 Cd 0.0000 0.1659 0.0000
Cd2 Cd 0.0000 0.5000 0.0000
Cd3 Cd 0.0000 0.5000 0.5000
Bi1 Bi 0.0000 0.1568 0.5000
```